VASP calculation (GGA-PBE) on crystalline CuSb2TeC at its relaxed geometry.

Computed properties:
The uncorrected formation energy comes out at 1714.9 meV per atom. Its space-group type is P4/mmm (123). As for the energy: -3.2264 eV per atom. For the energy above the most stable polymorph in this dataset, the calculation gives 604 meV per atom. As for the density: 5731 kg/m³.

Lattice parameters (Å, degrees): 5.036 5.036 5.102 90.00 90.00 90.00
Sites, in units of the cell vectors:
Sb: 0.000 0.500 0.000
Sb: 0.500 0.000 0.000
C: 0.500 0.500 0.500
Te: 0.000 0.000 0.500
Cu: 0.000 0.000 0.000